Entry from Alexandria via LeMat-Bulk: LaNi2Ir at its PBEsol-relaxed geometry (meta-GGA SCAN).

It has space group Cm (No. 8), with a = 7.2734 Å, b = 4.1996 Å, c = 5.3849 Å, α = 90.00°, β = 116.85° and γ = 90.00°. Symmetry generates all atoms from La at (0.0000, 0.0000, 0.0000), Ni at (0.0112, 0.5000, 0.5368), Ni at (0.3143, 0.5000, 0.4468) and Ir at (0.1880, 0.0000, 0.5675).

The calculation puts the formation energy at -429.7 meV per atom. The value obtained for the calculated total energy is -296.539 eV per cell.